# NpMnAlTc PBE relaxed
data_NpMnAlTc
_chemical_formula_sum 'Np4 Mn4 Al4 Tc4'
_cell_length_a 6.353
_cell_length_b 6.353
_cell_length_c 6.353
_cell_angle_alpha 90.00
_cell_angle_beta 90.00
_cell_angle_gamma 90.00
_symmetry_space_group_name_H-M 'F -4 3 m'
_symmetry_Int_Tables_number 216
_symmetry_space_group_name_Hall 'F -4 2 3'
loop_
_atom_site_label
_atom_site_fract_x
_atom_site_fract_y
_atom_site_fract_z
Np1 0.000 0.000 0.000
Mn1 0.250 0.250 0.750
Al1 0.000 0.000 0.500
Tc1 0.250 0.250 0.250
# crystal system	cubic
# energy of formation from the pure elements	-27.8	kJ/mol of formula units
# M_tot	1.0	μB/f.u.